Entry 1:
Here is NdAl3ZnNi after structural relaxation from Alexandria via LeMat-Bulk. Energies are from PBE. Values from VASP.

The structure in Quantum ESPRESSO input format:
```
&SYSTEM
  ibrav = 0, nat = 12, ntyp = 4
/
ATOMIC_SPECIES
Al 26.98 Al.upf
Ni 58.69 Ni.upf
Nd 144.24 Nd.upf
Zn 65.41 Zn.upf
CELL_PARAMETERS angstrom
-3.340 -1.758 4.505
-3.384 -3.295 -3.796
5.447 -3.225 2.780
ATOMIC_POSITIONS crystal
Al 0.750 0.866 0.732
Al 0.250 0.134 0.268
Al 0.000 0.285 0.000
Al 0.500 0.285 0.000
Al 0.500 0.715 0.000
Al 0.000 0.715 0.000
Ni 0.250 0.934 0.867
Ni 0.750 0.066 0.133
Nd 0.750 0.281 0.562
Nd 0.250 0.719 0.438
Zn 0.750 0.653 0.305
Zn 0.250 0.347 0.695
```

Values from the calculation:
The calculation puts the final energy at -49.58 eV per cell. The crystal system is orthorhombic. Its space-group type is Cmcm, No. 63.

Entry 2:
Here is ThMg2Zn2Au2 after structural relaxation from Alexandria via LeMat-Bulk. Energies are from PBE. Values from VASP.

The structure in Quantum ESPRESSO input format:
```
&SYSTEM
  ibrav = 0, nat = 7, ntyp = 4
/
ATOMIC_SPECIES
Au 196.97 Au.upf
Mg 24.30 Mg.upf
Th 232.04 Th.upf
Zn 65.41 Zn.upf
CELL_PARAMETERS angstrom
-0.531 4.142 1.644
-3.407 0.891 2.782
3.397 -0.254 7.862
ATOMIC_POSITIONS crystal
Au 0.574 0.574 0.278
Au 0.426 0.426 0.722
Mg 0.863 0.863 0.410
Mg 0.137 0.137 0.590
Th 0.000 0.000 0.000
Zn 0.741 0.741 0.776
Zn 0.259 0.259 0.224
```

Values from the calculation:
The calculation puts the final energy at -22.36 eV per cell. The crystal system is trigonal. Its space-group type is R-3m, No. 166.

Entry 3:
Here is LaSiPb after structural relaxation from Alexandria via LeMat-Bulk. Energies are from PBE. Values from VASP.

The structure in Quantum ESPRESSO input format:
```
&SYSTEM
  ibrav = 0, nat = 6, ntyp = 3
/
ATOMIC_SPECIES
La 138.91 La.upf
Pb 207.20 Pb.upf
Si 28.09 Si.upf
CELL_PARAMETERS angstrom
-3.647 0.073 1.425
-1.146 -3.179 -2.770
1.834 -8.119 5.113
ATOMIC_POSITIONS crystal
La 0.750 0.091 0.818
La 0.250 0.909 0.182
Pb 0.250 0.710 0.580
Pb 0.750 0.290 0.420
Si 0.250 0.537 0.927
Si 0.750 0.463 0.073
```

Values from the calculation:
The energy above the most stable polymorph in this dataset comes out at 0 meV/atom. The crystal system is orthorhombic. Its space-group type is Cmcm, No. 63.

Entry 4:
Here is AcCd4Rh after structural relaxation from Alexandria via LeMat-Bulk. Energies are from PBE. Values from VASP.

The structure in Quantum ESPRESSO input format:
```
&SYSTEM
  ibrav = 0, nat = 6, ntyp = 3
/
ATOMIC_SPECIES
Cd 112.41 Cd.upf
Rh 102.91 Rh.upf
Ac 227.00 Ac.upf
CELL_PARAMETERS angstrom
5.813 0.000 0.000
2.906 5.034 0.000
2.906 1.678 4.746
ATOMIC_POSITIONS crystal
Cd 0.627 0.120 0.627
Cd 0.120 0.627 0.627
Cd 0.627 0.627 0.627
Cd 0.627 0.627 0.120
Rh 0.000 0.000 0.000
Ac 0.250 0.250 0.250
```

Values from the calculation:
The energy above the most stable polymorph in this dataset comes out at 188 meV/atom. The crystal system is cubic. Its space-group type is F-43m, No. 216.

Entry 5:
Here is CdGaAs2Br after structural relaxation from Alexandria via LeMat-Bulk. Energies are from PBE. Values from VASP.

The structure in Quantum ESPRESSO input format:
```
&SYSTEM
  ibrav = 0, nat = 5, ntyp = 4
/
ATOMIC_SPECIES
Ga 69.72 Ga.upf
As 74.92 As.upf
Br 79.90 Br.upf
Cd 112.41 Cd.upf
CELL_PARAMETERS angstrom
-0.140 4.489 -2.225
-4.732 -0.850 -1.417
-1.727 2.163 4.471
ATOMIC_POSITIONS crystal
Ga 0.000 0.000 0.000
As 0.500 0.000 0.000
As 0.000 0.500 0.000
Br 0.000 0.000 0.500
Cd 0.500 0.500 0.500
```

Values from the calculation:
The energy above the most stable polymorph in this dataset comes out at 0 meV/atom. The crystal system is tetragonal. Its space-group type is P4/mmm, No. 123.

Entry 6:
Here is Th6Tc2PSe3 after structural relaxation from Alexandria via LeMat-Bulk. Energies are from PBE. Values from VASP.

The structure in Quantum ESPRESSO input format:
```
&SYSTEM
  ibrav = 0, nat = 12, ntyp = 4
/
ATOMIC_SPECIES
Se 78.96 Se.upf
Th 232.04 Th.upf
Tc 98.00 Tc.upf
P 30.97 P.upf
CELL_PARAMETERS angstrom
7.195 -0.001 0.000
-3.596 6.232 0.000
-1.200 -2.077 7.206
ATOMIC_POSITIONS crystal
Se 0.500 0.500 0.500
Se 0.838 0.162 0.500
Se 0.162 0.838 0.500
Th 0.272 0.272 0.779
Th 0.583 0.927 0.780
Th 0.073 0.417 0.220
Th 0.417 0.073 0.220
Th 0.728 0.728 0.221
Th 0.927 0.583 0.780
Tc 0.668 0.332 0.000
Tc 0.332 0.668 0.000
P 0.000 0.000 0.000
```

Values from the calculation:
The calculation puts the final energy at -93.88 eV per cell. The crystal system is monoclinic. Its space-group type is C2/m, No. 12.

no.,total magnetic moment (μB per formula unit)
1,0.00
2,0.00
3,0.00
4,0.00
5,0.94
6,0.00